Record 1
A geometry-optimized Pr2ZrMoN5 structure. Source: the Alexandria database, functional PBE-GGA.

Output
Formation energy (no corrections)   -1.1153 eV per atom
Space group   No. 36

a b c (Å): 3.4493 7.0933 10.6455
angles (deg): 90.00 90.00 104.07
Closest atoms and distances in Å follow each position.
Sites, in units of the cell vectors:
1 Zr 0.7842 0.5683 0.5123  6 N 2.14-2.38
2 Zr 0.2158 0.4317 0.0123  6 N 2.14-2.38
3 N 0.6292 0.2583 0.5018  1 Zr 2.14, 1 Mo 2.19
4 N 0.5091 0.0182 0.2882  1 Mo 1.86
5 N 0.2841 0.5682 0.6533  2 Zr 2.29, 3 Pr 2.41-2.52
6 N 0.9556 0.9113 0.5395  2 Mo 1.95
7 N 0.3216 0.6431 0.3822  1 Mo 2.24, 2 Zr 2.27
8 N 0.4909 0.9818 0.7882  1 Mo 1.86
9 N 0.7159 0.4318 0.1533  2 Zr 2.29, 3 Pr 2.41-2.52
10 N 0.3708 0.7417 0.0018  1 Zr 2.14, 1 Mo 2.19
11 N 0.6784 0.3569 0.8822  1 Mo 2.24, 2 Zr 2.27
12 N 0.0444 0.0887 0.0395  2 Mo 1.95
13 Mo 0.5263 0.0527 0.9565  3 N 1.86-1.95
14 Mo 0.4737 0.9473 0.4565  3 N 1.86-1.95
15 Pr 0.8889 0.7777 0.1896  6 N 2.41-2.67
16 Pr 0.8536 0.7072 0.8005  7 N 2.52-2.76
17 Pr 0.1464 0.2928 0.3005  7 N 2.52-2.76
18 Pr 0.1111 0.2223 0.6896  6 N 2.41-2.67

---

Record 2
A geometry-optimized BeGe2NCl structure. Source: the Alexandria database, functional PBE-GGA.

Output
Formation energy (no corrections)   1.1324 eV per atom
Space group   No. 123

a b c (Å): 4.5077 4.2625 4.5077
angles (deg): 90.00 90.00 90.00
Closest atoms and distances in Å follow each position.
Sites, in units of the cell vectors:
1 N 0.5000 0.5000 0.5000  8 Ge 3.10, 4 Cl 3.19
2 Ge 0.0000 0.0000 0.5000  2 Be 2.25
3 Ge 0.5000 0.0000 0.0000  2 Be 2.25
4 Cl 0.0000 0.5000 0.0000  2 Be 2.13
5 Be 0.0000 0.0000 0.0000  2 Cl 2.13, 4 Ge 2.25

---

Record 3
A geometry-optimized TcMoSe2 structure. Source: the Alexandria database, functional PBE-GGA.

Output
Formation energy (no corrections)   0.5736 eV per atom
Energy above the most stable polymorph in this dataset   0.760 eV/atom
Space group   No. 71

a b c (Å): 5.1331 5.1331 5.1331
angles (deg): 145.17 113.28 77.52
Closest atoms and distances in Å follow each position.
Sites, in units of the cell vectors:
1 Tc 0.7500 0.2500 0.5000  4 Se 2.50
2 Se 0.9963 0.9963 0.0000  2 Tc 2.50, 2 Mo 2.55
3 Se 0.5037 0.5037 0.0000  2 Tc 2.50, 2 Mo 2.55
4 Mo 0.2500 0.7500 0.5000  4 Se 2.55

---

Record 4
A geometry-optimized In5Ga12As3 structure. Source: the Alexandria database, functional PBE-GGA.

Output
ΔH_f (0 K)   0.16 eV/atom
Space group   No. 230

a b c (Å): 13.8841 13.8841 13.8841
angles (deg): 109.47 109.47 109.47
Closest atoms and distances in Å follow each position.
Sites, in units of the cell vectors:
1 In 0.0000 0.5000 0.0000  6 Ga 2.80
2 In 0.3750 0.1250 0.7500  4 Ga 2.76
3 In 0.2500 0.3750 0.6250  4 Ga 2.76
4 In 0.0000 0.0000 0.0000  6 Ga 2.80
5 In 0.7500 0.1250 0.8750  4 Ga 2.76
6 In 0.5000 0.0000 0.5000  6 Ga 2.80
7 In 0.8750 0.2500 0.6250  4 Ga 2.76
8 In 0.3750 0.2500 0.1250  4 Ga 2.76
9 In 0.6250 0.7500 0.8750  4 Ga 2.76
10 In 0.5000 0.0000 0.0000  6 Ga 2.80
11 In 0.2500 0.8750 0.1250  4 Ga 2.76
12 In 0.6250 0.8750 0.2500  4 Ga 2.76
13 In 0.1250 0.3750 0.2500  4 Ga 2.76
14 In 0.0000 0.5000 0.5000  6 Ga 2.80
15 In 0.7500 0.6250 0.3750  4 Ga 2.76
16 In 0.5000 0.5000 0.0000  6 Ga 2.80
17 In 0.8750 0.6250 0.7500  4 Ga 2.76
18 In 0.1250 0.7500 0.3750  4 Ga 2.76
19 In 0.5000 0.5000 0.5000  6 Ga 2.80
20 In 0.0000 0.0000 0.5000  6 Ga 2.80
21 Ga 0.8525 0.5882 0.9270  1 Ga 2.71, 2 As 2.75-2.92, 2 In 2.76-2.80
22 Ga 0.9270 0.0882 0.8525  1 Ga 2.71, 2 As 2.75-2.92, 2 In 2.76-2.80
23 Ga 0.2357 0.6613 0.0882  1 Ga 2.71, 2 As 2.75-2.92, 2 In 2.76-2.80
24 Ga 0.1613 0.0882 0.7357  1 Ga 2.71, 2 As 2.75-2.92, 2 In 2.76-2.80
25 Ga 0.9270 0.8387 0.5745  1 Ga 2.71, 2 As 2.75-2.92, 2 In 2.76-2.80
26 Ga 0.9255 0.5730 0.1613  1 Ga 2.71, 2 As 2.75-2.92, 2 In 2.76-2.80
27 Ga 0.7357 0.1475 0.0745  1 Ga 2.71, 2 As 2.75-2.92, 2 In 2.76-2.80
28 Ga 0.4255 0.6613 0.0730  1 Ga 2.71, 2 As 2.75-2.92, 2 In 2.76-2.80
29 Ga 0.4270 0.3525 0.5882  1 Ga 2.71, 2 As 2.75-2.92, 2 In 2.76-2.80
30 Ga 0.5730 0.9255 0.6613  1 Ga 2.71, 2 As 2.75-2.92, 2 In 2.76-2.80
31 Ga 0.6475 0.0745 0.2357  1 Ga 2.71, 2 As 2.75-2.92, 2 In 2.76-2.80
32 Ga 0.6475 0.5730 0.9118  1 Ga 2.71, 2 As 2.75-2.92, 2 In 2.76-2.80
33 Ga 0.0882 0.9270 0.3525  1 Ga 2.71, 2 As 2.75-2.92, 2 In 2.76-2.80
34 Ga 0.0730 0.9118 0.1475  1 Ga 2.71, 2 As 2.75-2.92, 2 In 2.76-2.80
35 Ga 0.4270 0.0745 0.3387  1 Ga 2.71, 2 As 2.75-2.92, 2 In 2.76-2.80
36 Ga 0.3387 0.7643 0.4118  1 Ga 2.71, 2 As 2.75-2.92, 2 In 2.76-2.80
37 Ga 0.0745 0.4270 0.8387  1 Ga 2.71, 2 As 2.75-2.92, 2 In 2.76-2.80
38 Ga 0.1475 0.4118 0.0730  1 Ga 2.71, 2 As 2.75-2.92, 2 In 2.76-2.80
39 Ga 0.0745 0.6475 0.7357  1 Ga 2.71, 2 As 2.75-2.92, 2 In 2.76-2.80
40 Ga 0.4118 0.2643 0.3387  1 Ga 2.71, 2 As 2.75-2.92, 2 In 2.76-2.80
41 Ga 0.3525 0.9255 0.7643  1 Ga 2.71, 2 As 2.75-2.92, 2 In 2.76-2.80
42 Ga 0.5745 0.3387 0.9270  1 Ga 2.71, 2 As 2.75-2.92, 2 In 2.76-2.80
43 Ga 0.3525 0.4270 0.0882  1 Ga 2.71, 2 As 2.75-2.92, 2 In 2.76-2.80
44 Ga 0.7643 0.4255 0.3525  1 Ga 2.71, 2 As 2.75-2.92, 2 In 2.76-2.80
45 Ga 0.5745 0.2357 0.1475  1 Ga 2.71, 2 As 2.75-2.92, 2 In 2.76-2.80
46 Ga 0.1613 0.0730 0.9255  1 Ga 2.71, 2 As 2.75-2.92, 2 In 2.76-2.80
47 Ga 0.9118 0.0730 0.6475  1 Ga 2.71, 2 As 2.75-2.92, 2 In 2.76-2.80
48 Ga 0.7643 0.3387 0.9118  1 Ga 2.71, 2 As 2.75-2.92, 2 In 2.76-2.80
49 Ga 0.0882 0.1613 0.2357  1 Ga 2.71, 2 As 2.75-2.92, 2 In 2.76-2.80
50 Ga 0.4118 0.1475 0.5730  1 Ga 2.71, 2 As 2.75-2.92, 2 In 2.76-2.80
51 Ga 0.5730 0.6475 0.4118  1 Ga 2.71, 2 As 2.75-2.92, 2 In 2.76-2.80
52 Ga 0.6613 0.2357 0.5882  1 Ga 2.71, 2 As 2.75-2.92, 2 In 2.76-2.80
53 Ga 0.8387 0.9270 0.0745  1 Ga 2.71, 2 As 2.75-2.92, 2 In 2.76-2.80
54 Ga 0.6613 0.4255 0.5730  1 Ga 2.71, 2 As 2.75-2.92, 2 In 2.76-2.80
55 Ga 0.8387 0.9118 0.2643  1 Ga 2.71, 2 As 2.75-2.92, 2 In 2.76-2.80
56 Ga 0.8525 0.2643 0.4255  1 Ga 2.71, 2 As 2.75-2.92, 2 In 2.76-2.80
57 Ga 0.2357 0.5745 0.6475  1 Ga 2.71, 2 As 2.75-2.92, 2 In 2.76-2.80
58 Ga 0.5882 0.7357 0.6613  1 Ga 2.71, 2 As 2.75-2.92, 2 In 2.76-2.80
59 Ga 0.2643 0.8525 0.9255  1 Ga 2.71, 2 As 2.75-2.92, 2 In 2.76-2.80
60 Ga 0.5882 0.8525 0.4270  1 Ga 2.71, 2 As 2.75-2.92, 2 In 2.76-2.80
61 Ga 0.4255 0.7643 0.8525  1 Ga 2.71, 2 As 2.75-2.92, 2 In 2.76-2.80
62 Ga 0.2643 0.4118 0.8387  1 Ga 2.71, 2 As 2.75-2.92, 2 In 2.76-2.80
63 Ga 0.7357 0.5882 0.1613  1 Ga 2.71, 2 As 2.75-2.92, 2 In 2.76-2.80
64 Ga 0.0730 0.1613 0.4255  1 Ga 2.71, 2 As 2.75-2.92, 2 In 2.76-2.80
65 Ga 0.3387 0.5745 0.4270  1 Ga 2.71, 2 As 2.75-2.92, 2 In 2.76-2.80
66 Ga 0.9118 0.8387 0.7643  1 Ga 2.71, 2 As 2.75-2.92, 2 In 2.76-2.80
67 Ga 0.1475 0.7357 0.5745  1 Ga 2.71, 2 As 2.75-2.92, 2 In 2.76-2.80
68 Ga 0.9255 0.3525 0.2643  1 Ga 2.71, 2 As 2.75-2.92, 2 In 2.76-2.80
69 As 0.6250 0.2500 0.3750  8 Ga 2.75-2.92
70 As 0.7500 0.8750 0.6250  8 Ga 2.75-2.92
71 As 0.1250 0.8750 0.7500  8 Ga 2.75-2.92
72 As 0.1250 0.2500 0.8750  8 Ga 2.75-2.92
73 As 0.2500 0.1250 0.3750  8 Ga 2.75-2.92
74 As 0.3750 0.7500 0.6250  8 Ga 2.75-2.92
75 As 0.6250 0.3750 0.7500  8 Ga 2.75-2.92
76 As 0.8750 0.7500 0.1250  8 Ga 2.75-2.92
77 As 0.3750 0.6250 0.2500  8 Ga 2.75-2.92
78 As 0.7500 0.3750 0.1250  8 Ga 2.75-2.92
79 As 0.8750 0.1250 0.2500  8 Ga 2.75-2.92
80 As 0.2500 0.6250 0.8750  8 Ga 2.75-2.92

---

Record 5
A geometry-optimized K3CdI structure. Source: the Alexandria database, functional PBE-GGA.

Output
Formation energy (no corrections)   -0.4017 eV per atom
Energy above the most stable polymorph in this dataset   0.000 eV/atom
Space group   No. 221

a b c (Å): 6.7413 6.7413 6.7413
angles (deg): 90.00 90.00 90.00
Closest atoms and distances in Å follow each position.
Sites, in units of the cell vectors:
1 Cd 0.5000 0.5000 0.5000  12 K 4.77
2 K 0.0000 0.5000 0.0000  2 I 3.37
3 K 0.5000 0.0000 0.0000  2 I 3.37
4 K 0.0000 0.0000 0.5000  2 I 3.37
5 I 0.0000 0.0000 0.0000  6 K 3.37

---

Record 6
A geometry-optimized LaFeSe2 structure. Source: the Alexandria database, functional PBE-GGA.

Output
Formation energy (no corrections)   -0.8110 eV per atom
Energy above the most stable polymorph in this dataset   0.202 eV/atom
Space group   No. 123

a b c (Å): 7.8300 4.8955 3.6632
angles (deg): 90.00 62.06 128.69
Closest atoms and distances in Å follow each position.
Sites, in units of the cell vectors:
1 Se 0.0000 0.0000 0.0000  4 La 3.05-3.06, 4 Fe 3.06
2 Se 0.5000 0.0000 0.5000  4 Fe 3.05-3.06, 4 La 3.06
3 Fe 0.0000 0.5000 0.5000  8 Se 3.05-3.06
4 La 0.5000 0.5000 0.0000  8 Se 3.05-3.06

---

Record 7
A geometry-optimized Ca3Pd3Pt structure. Source: the Alexandria database, functional PBE-GGA.

Output
ΔH_f (0 K)   -0.70 eV/atom
Space group   No. 63

a b c (Å): 4.4730 5.5838 13.6098
angles (deg): 90.00 90.00 113.61
Closest atoms and distances in Å follow each position.
Sites, in units of the cell vectors:
1 Ca 0.2109 0.4217 0.9018  6 Pd 2.91-3.12, 1 Pt 3.25
2 Ca 0.7891 0.5783 0.4018  6 Pd 2.91-3.12, 1 Pt 3.25
3 Ca 0.7891 0.5783 0.0982  6 Pd 2.91-3.12, 1 Pt 3.25
4 Ca 0.2109 0.4217 0.5982  6 Pd 2.91-3.12, 1 Pt 3.25
5 Ca 0.5075 0.0151 0.2500  7 Pd 2.89-3.20
6 Ca 0.4925 0.9849 0.7500  7 Pd 2.89-3.20
7 Pd 0.9231 0.8463 0.9095  2 Pd 2.65-2.92, 2 Pt 2.67, 2 Ca 2.91-2.95
8 Pd 0.9231 0.8463 0.5905  2 Pd 2.65-2.92, 2 Pt 2.67, 2 Ca 2.91-2.95
9 Pd 0.7748 0.5497 0.7500  2 Pd 2.65, 1 Ca 2.89
10 Pd 0.0769 0.1537 0.0905  2 Pd 2.65-2.92, 2 Pt 2.67, 2 Ca 2.91-2.95
11 Pd 0.0769 0.1537 0.4095  2 Pd 2.65-2.92, 2 Pt 2.67, 2 Ca 2.91-2.95
12 Pd 0.2252 0.4503 0.2500  2 Pd 2.65, 1 Ca 2.89
13 Pt 0.5000 0.0000 0.0000  4 Pd 2.67
14 Pt 0.5000 0.0000 0.5000  4 Pd 2.67

---

Record 8
A geometry-optimized TaGaPd6 structure. Source: the Alexandria database, functional PBE-GGA.

Output
ΔH_f (0 K)   -0.34 eV/atom
Energy above the most stable polymorph in this dataset   0.182 eV/atom
Space group   No. 2

a b c (Å): 7.3054 6.9099 5.0388
angles (deg): 46.50 43.56 58.14
Closest atoms and distances in Å follow each position.
Sites, in units of the cell vectors:
1 Ta 0.5000 0.5000 0.5000  12 Pd 2.76-2.89
2 Pd 0.4507 0.7542 0.8263  1 Ga 2.54, 2 Pd 2.57-2.58, 1 Ta 2.76
3 Pd 0.7538 0.9719 0.7254  1 Ga 2.55, 2 Pd 2.58, 1 Ta 2.77
4 Pd 0.0299 0.4528 0.7636  1 Ga 2.54, 2 Pd 2.57-2.58, 1 Ta 2.76
5 Pd 0.9701 0.5472 0.2364  1 Ga 2.54, 2 Pd 2.57-2.58, 1 Ta 2.76
6 Pd 0.2462 0.0281 0.2746  1 Ga 2.55, 2 Pd 2.58, 1 Ta 2.77
7 Pd 0.5493 0.2458 0.1737  1 Ga 2.54, 2 Pd 2.57-2.58, 1 Ta 2.76
8 Ga 0.0000 0.0000 0.0000  6 Pd 2.54-2.55

---

Record 9
A geometry-optimized CaHfPtF2 structure. Source: the Alexandria database, functional PBE-GGA.

Output
Formation energy (no corrections)   0.0850 eV per atom
Space group   No. 123

a b c (Å): 4.4164 5.2521 4.4164
angles (deg): 90.00 90.00 90.00
Closest atoms and distances in Å follow each position.
Sites, in units of the cell vectors:
1 F 0.0000 0.0000 0.5000  2 Pt 2.21
2 F 0.5000 0.0000 0.0000  2 Pt 2.21
3 Ca 0.0000 0.5000 0.0000  2 Pt 2.63
4 Pt 0.0000 0.0000 0.0000  4 F 2.21
5 Hf 0.5000 0.5000 0.5000  4 Ca 3.12, 8 F 3.43

---

Record 10
A geometry-optimized Nd2Y12Tm structure. Source: the Alexandria database, functional PBE-GGA.

Output
ΔH_f (0 K)   0.17 eV/atom
Space group   No. 67

a b c (Å): 6.7133 6.7133 24.8602
angles (deg): 90.00 90.00 63.69
Closest atoms and distances in Å follow each position.
Sites, in units of the cell vectors:
1 Nd 0.0000 0.5000 0.2643  2 Nd 3.54, 10 Y 3.70-3.89
2 Nd 0.0000 0.5000 0.7308  2 Nd 3.54, 8 Y 3.65-3.80
3 Nd 0.5000 0.0000 0.7357  2 Nd 3.54, 10 Y 3.70-3.89
4 Nd 0.5000 0.0000 0.2692  2 Nd 3.54, 8 Y 3.65-3.80
5 Y 0.7504 0.7496 0.8748  8 Y 3.37-3.58, 2 Tm 3.58
6 Y 0.0000 0.0000 0.1976  7 Y 3.22-3.54
7 Y 0.7385 0.7615 0.5848  8 Y 3.32-3.70
8 Y 0.7354 0.2354 0.4392  5 Y 3.04-3.32
9 Y 0.0000 0.0000 0.6730  7 Y 3.22-3.60
10 Y 0.2646 0.7646 0.4392  5 Y 3.04-3.32
11 Y 0.7496 0.7504 0.1252  8 Y 3.37-3.58, 2 Tm 3.58
12 Y 0.7615 0.7385 0.4152  8 Y 3.32-3.70
13 Y 0.2503 0.7503 0.9244  2 Tm 3.41-3.42, 9 Y 3.51-3.76
14 Y 0.5000 0.5000 0.3270  7 Y 3.22-3.60
15 Y 0.5000 0.5000 0.1976  7 Y 3.22-3.54
16 Y 0.2354 0.7354 0.5608  5 Y 3.04-3.32
17 Y 0.7497 0.2497 0.9244  2 Tm 3.41-3.42, 9 Y 3.51-3.76
18 Y 0.0000 0.0000 0.8024  7 Y 3.22-3.54
19 Y 0.2385 0.2615 0.4152  8 Y 3.32-3.70
20 Y 0.2504 0.2496 0.1252  8 Y 3.37-3.58, 2 Tm 3.58
21 Y 0.2615 0.2385 0.5848  8 Y 3.32-3.70
22 Y 0.0000 0.0000 0.3270  7 Y 3.22-3.60
23 Y 0.2497 0.7497 0.0756  2 Tm 3.41-3.42, 9 Y 3.51-3.76
24 Y 0.7503 0.2503 0.0756  2 Tm 3.41-3.42, 9 Y 3.51-3.76
25 Y 0.7646 0.2646 0.5608  5 Y 3.04-3.32
26 Y 0.5000 0.5000 0.8024  7 Y 3.22-3.54
27 Y 0.5000 0.5000 0.6730  7 Y 3.22-3.60
28 Y 0.2496 0.2504 0.8748  8 Y 3.37-3.58, 2 Tm 3.58
29 Tm 0.5000 0.0000 0.0000  8 Y 3.41-3.58, 2 Tm 3.54
30 Tm 0.0000 0.5000 0.0000  8 Y 3.41-3.58, 2 Tm 3.54

---

Number 1: calculated total energy -8.956 eV/atom. Number 2: calculated total energy -3.494 eV/atom. Number 3: calculated total energy -6.468 eV/atom. Number 4: calculated total energy -3.039 eV/atom. Number 5: calculated total energy -1.553 eV/atom. Number 6: calculated total energy -5.901 eV/atom. Number 7: calculated total energy -4.642 eV/atom. Number 8: calculated total energy -6.092 eV/atom. Number 9: calculated total energy -4.263 eV/atom. Number 10: calculated total energy -5.938 eV/atom.